1.
Computed, not measured: a relaxed structure of Ac3Pr3HoS8 at the PBE-GGA level of DFT.

Lattice parameters (Å, degrees): 8.289 8.289 8.425 119.46 90.00 120.00
Fractional coordinates of all 15 atoms:
Ac: 0.500 0.500 0.000
Pr: 0.500 0.000 0.500
Ac: 0.000 0.000 0.000
S: 0.764 0.529 0.271
Pr: 0.500 0.500 0.500
S: 0.243 0.007 0.271
Ho: 0.000 0.000 0.500
S: 0.254 0.507 0.261
S: 0.757 0.993 0.729
S: 0.764 0.007 0.271
Ac: 0.000 0.500 0.000
Pr: 0.000 0.500 0.500
S: 0.236 0.471 0.729
S: 0.746 0.493 0.739
S: 0.236 0.993 0.729

Density of states at the Fermi level: 0.473 states/eV/atom
Magnetic moment: 0.00 μB/atom
Crystal system: trigonal
Formation energy without anion corrections: -197 kJ/mol of atoms

---

2.
Computed, not measured: a relaxed structure of BaSr2CoH at the PBE-GGA level of DFT.

Lattice parameters (Å, degrees): 6.940 4.491 6.940 90.00 90.00 90.00
Site moments in Bohr magnetons follow the coordinates.
Fractional coordinates of all 5 atoms:
Sr: 0.500 0.000 0.000  -0.03
H: 0.000 0.500 0.000  0.00
Co: 0.500 0.500 0.500  2.12
Sr: 0.000 0.000 0.500  -0.04
Ba: 0.000 0.000 0.000  -0.05

Density of states at the Fermi level: 1.215 states/eV/atom
Uncorrected energy: -2.0748 eV per atom
Magnetic moment: 0.32 μB/atom
Crystal system: tetragonal

---

3.
Computed, not measured: a relaxed structure of SrCdGe2Pd at the PBE-GGA level of DFT.

Lattice parameters (Å, degrees): 4.437 4.437 6.364 110.40 110.40 90.00
Fractional coordinates of all 5 atoms:
Ge: 0.387 0.387 0.773
Pd: 0.250 0.750 0.500
Cd: 0.750 0.250 0.500
Ge: 0.613 0.613 0.227
Sr: 0.000 0.000 0.000

Density of states at the Fermi level: 0.484 states/eV/atom
Uncorrected energy: -3.8960 eV per atom
Magnetic moment: 0.00 μB/atom
Crystal system: tetragonal

---

4.
Computed, not measured: a relaxed structure of HgMoAs2 at the PBE-GGA level of DFT.

Lattice parameters (Å, degrees): 4.755 4.755 4.755 60.00 60.00 60.00
Site moments in Bohr magnetons follow the coordinates.
Fractional coordinates of all 4 atoms:
As: 0.000 0.000 0.000  -0.06
Mo: 0.750 0.750 0.750  1.37
Hg: 0.500 0.500 0.500  0.04
As: 0.250 0.250 0.250  -0.03

Density of states at the Fermi level: 1.046 states/eV/atom
Uncorrected energy: -4.3510 eV per atom
Magnetic moment: 0.38 μB/atom
Crystal system: cubic